# CsGaSnBi2, optimized geometry, DFT PBE
data_CsGaSnBi2
_cell_length_a 5.279
_cell_length_b 5.279
_cell_length_c 13.662
_cell_angle_alpha 90.00
_cell_angle_beta 90.00
_cell_angle_gamma 90.00
_symmetry_space_group_name_H-M 'I -4 m 2'
_symmetry_Int_Tables_number 119
_symmetry_space_group_name_Hall 'I -4 -2'
loop_
_atom_site_label
_atom_site_type_symbol
_atom_site_fract_x
_atom_site_fract_y
_atom_site_fract_z
Cs1 Cs 0.000 0.000 0.000
Ga1 Ga 0.000 0.500 0.250
Sn1 Sn 0.000 0.500 0.750
Bi1 Bi 0.000 0.000 0.365
# Spin magnetization   0.0 μB/f.u.
# Electronic total energy   -3.310 eV/atom
# V   381 Å³ per cell
# Energy relative to the elements   -181 meV per atom